Entry from the Alexandria database: RbCa3 at its PBEsol-relaxed geometry (SCAN).

a = 6.9846 Å, b = 6.9846 Å, c = 6.9846 Å
α = 131.38°, β = 131.38°, γ = 71.21°
Sites, in units of the cell vectors:
Rb: 0.0000 0.0000 0.0000
Ca: 0.2500 0.7500 0.5000
Ca: 0.5000 0.5000 0.0000
Ca: 0.7500 0.2500 0.5000

## Properties
Space group = I4/mmm
E_tot = -12.2008 eV per atom
ΔH_f (0 K) = 232 meV per atom